Density functional theory data (PBE with a Hubbard U) for a relaxed structure of MnCdNO2.

Summary:
E_tot ... -5.53 eV/atom

Unit cell a=3.923 b=3.923 c=3.755 alpha=90.00 beta=90.00 gamma=90.00
Last column: magnetic moment on the atom in μB.
Fractional positions:
N (0.000, 0.000, 0.500)  -0.79
Cd (0.500, 0.500, 0.500)  0.04
Mn (0.000, 0.000, 0.000)  3.37
O (0.500, 0.000, 0.000)  -0.20
O (0.000, 0.500, 0.000)  -0.20



Density functional theory data (PBE with a Hubbard U) for a relaxed structure of MnCdNO2.

Summary:
E_tot ... -4.69 eV/atom

Unit cell a=4.192 b=4.192 c=4.135 alpha=90.00 beta=90.00 gamma=90.00
Last column: magnetic moment on the atom in μB.
Fractional positions:
Mn (0.500, 0.500, 0.500)  4.73
O (0.000, 0.500, 0.000)  -0.20
O (0.500, 0.000, 0.000)  -0.20
N (0.000, 0.000, 0.500)  -0.91
Cd (0.000, 0.000, 0.000)  -0.06



Density functional theory data (PBE with a Hubbard U) for a relaxed structure of MnCdN2O.

Summary:
E_tot ... -4.17 eV/atom

Unit cell a=4.214 b=4.214 c=4.236 alpha=90.00 beta=90.00 gamma=90.00
Last column: magnetic moment on the atom in μB.
Fractional positions:
N (0.500, 0.000, 0.000)  0.93
N (0.000, 0.500, 0.000)  0.93
O (0.000, 0.000, 0.500)  0.35
Mn (0.500, 0.500, 0.500)  -2.98
Cd (0.000, 0.000, 0.000)  0.07